No. 1
Cs2CoPBr6 GGA-PBE relaxed; SG = No. 139; D(E_F) = 32.9 states/eV per cell
1.0
-3.784 3.784 5.864
3.784 -3.784 5.864
3.784 3.784 -5.864
Cs Co P Br
2 1 1 6
direct
0.250 0.750 0.500
0.750 0.250 0.500
0.000 0.000 0.000
0.500 0.500 0.000
0.204 0.204 0.000
0.261 0.261 0.522
0.261 0.739 0.000
0.739 0.261 0.000
0.739 0.739 0.478
0.796 0.796 0.000

=====

No. 2
CsCoPb2Br8 GGA-PBE relaxed; SG = No. 2
1.0
7.063 0.000 0.000
0.064 7.615 0.000
0.011 2.557 8.025
Cs Co Pb Br
1 1 2 8
direct
0.000 0.000 0.000
0.000 0.500 0.500
0.462 0.489 0.261
0.538 0.511 0.739
0.035 0.471 0.221
0.237 0.740 0.436
0.244 0.267 0.600
0.490 0.780 0.936
0.510 0.220 0.064
0.756 0.733 0.400
0.763 0.260 0.564
0.965 0.529 0.779

=====

No. 3
CsCo2PbBr8 GGA-PBE relaxed; SG = No. 148; D(E_F) = 11.8 states/eV per cell
1.0
3.500 2.021 10.243
-3.500 2.021 10.243
0.000 -4.041 10.243
Cs Co Pb Br
1 2 1 8
direct
0.000 0.000 0.000
0.250 0.250 0.250
0.750 0.750 0.750
0.500 0.500 0.500
0.085 0.444 0.795
0.205 0.915 0.556
0.325 0.325 0.325
0.444 0.795 0.085
0.556 0.205 0.915
0.675 0.675 0.675
0.795 0.085 0.444
0.915 0.556 0.205

=====

Q: Which calculated total energy values were calculated for the entries above? A: -3.1674; -3.2608; -3.3907, in eV per atom.